1.
VASP calculation (GGA-PBE) on a relaxed structure of GeMoCl3.

```
GeMoCl3
1.0
5.0407 0.0000 0.0000
0.0000 5.0407 0.0000
0.0000 0.0000 5.0407
Ge Mo Cl
1 1 3
Direct
0.0000 0.0000 0.0000 Ge
0.5000 0.5000 0.5000 Mo
0.0000 0.5000 0.5000 Cl
0.5000 0.0000 0.5000 Cl
0.5000 0.5000 0.0000 Cl
```

Its excess energy over the best structure of this formula in the dataset is 0 meV per atom. The calculated volume is 128.1 Å³ per cell. The density of states at the Fermi level comes out at 4.59 states/eV/cell. Its uncorrected formation energy is 0.111 eV/atom.

---

2.
VASP calculation (GGA-PBE) on a relaxed structure of Zr2TeW.

```
Zr2TeW
1.0
3.6651 0.0000 0.0000
0.0000 3.6651 0.0000
0.0000 0.0000 6.2152
Zr Te W
2 1 1
Direct
0.0000 0.0000 0.0000 Zr
0.5000 0.5000 0.2727 Zr
0.0000 0.0000 0.5158 Te
0.5000 0.5000 0.7874 W
```

Its excess energy over the best structure of this formula in the dataset is 228 meV per atom. The calculated volume is 83.5 Å³ per cell. The density of states at the Fermi level comes out at 2.53 states/eV/cell. Its uncorrected formation energy is 0.034 eV/atom.

---

3.
VASP calculation (GGA-PBE) on a relaxed structure of NdMg2Ni9.

```
NdMg2Ni9
1.0
2.4495 1.4142 7.8608
-2.4495 1.4142 7.8608
0.0000 -2.8284 7.8608
Nd Mg Ni
1 2 9
Direct
0.0000 0.0000 0.0000 Nd
0.1444 0.1444 0.1444 Mg
0.8556 0.8556 0.8556 Mg
0.0827 0.5864 0.5864 Ni
0.3335 0.3335 0.3335 Ni
0.4136 0.4136 0.9173 Ni
0.4136 0.9173 0.4136 Ni
0.5000 0.5000 0.5000 Ni
0.5864 0.0827 0.5864 Ni
0.5864 0.5864 0.0827 Ni
0.6665 0.6665 0.6665 Ni
0.9173 0.4136 0.4136 Ni
```

The calculated volume is 163.4 Å³ per cell. The density of states at the Fermi level comes out at 13.98 states/eV/cell. The value obtained for the energy of formation is -24.5 kJ per mole of atoms.

---

4.
VASP calculation (GGA-PBE) on a relaxed structure of KAg2S.

```
KAg2S
1.0
-2.7203 2.7203 8.6564
2.7203 -2.7203 8.6564
2.7203 2.7203 -8.6564
K Ag S
2 4 2
Direct
0.3750 0.6250 0.7500 K
0.6250 0.3750 0.2500 K
0.0000 0.0000 0.0000 Ag
0.0000 0.0000 0.5000 Ag
0.0000 0.5000 0.0000 Ag
0.5000 0.0000 0.5000 Ag
0.1250 0.8750 0.2500 S
0.8750 0.1250 0.7500 S
```

The calculated volume is 256.2 Å³ per cell. The density of states at the Fermi level comes out at 0.69 states/eV/cell. Its uncorrected formation energy is -0.153 eV/atom.